PrVZn4: optimized geometry, GGA-PBE.

Cell lengths 5.3308, 5.3308, 5.3308 Å; angles 60.00, 60.00, 60.00 degrees
Last column: nearest neighbours and their distance in Å.
Element x y z (fractional)
Zn 0.6262 0.6262 0.6262  6 Zn 2.64-2.69
V 0.0000 0.0000 0.0000  12 Zn 3.12, 4 Pr 3.26
Zn 0.6262 0.6262 0.1215  6 Zn 2.64-2.69
Zn 0.1215 0.6262 0.6262  6 Zn 2.64-2.69
Zn 0.6262 0.1215 0.6262  6 Zn 2.64-2.69
Pr 0.2500 0.2500 0.2500  12 Zn 3.13, 4 V 3.26

Computed properties:
The value obtained for the energy of formation from the pure elements is -0.65 eV/f.u.

=====

PrVZn: optimized geometry, GGA-PBE.

Cell lengths 4.8017, 4.2051, 9.0644 Å; angles 81.30, 74.64, 55.18 degrees
Last column: nearest neighbours and their distance in Å.
Element x y z (fractional)
V 0.8580 0.2839 0.0000  1 V 1.96
Pr 0.6109 0.0000 0.7782  6 V 3.14-3.24, 4 Zn 3.21
Zn 0.2500 0.5000 0.5000  2 Zn 2.40
Pr 0.3891 0.0000 0.2218  6 V 3.14-3.24, 4 Zn 3.21
Zn 0.7500 0.5000 0.5000  2 Zn 2.40
V 0.1420 0.7161 0.0000  1 V 1.96

Computed properties:
The value obtained for the energy of formation from the pure elements is 0.94 eV/f.u.

=====

PrZrV4: optimized geometry, GGA-PBE.

Cell lengths 5.3086, 5.3086, 5.3086 Å; angles 60.00, 60.00, 60.00 degrees
Last column: nearest neighbours and their distance in Å.
Element x y z (fractional)
V 0.6230 0.1311 0.6230  6 V 2.61-2.70
V 0.6230 0.6230 0.1311  6 V 2.61-2.70
Pr 0.0000 0.0000 0.0000  12 V 3.12, 4 Zr 3.25
V 0.6230 0.6230 0.6230  6 V 2.61-2.70
Zr 0.2500 0.2500 0.2500  12 V 3.11, 4 Pr 3.25
V 0.1311 0.6230 0.6230  6 V 2.61-2.70

Computed properties:
The value obtained for the energy of formation from the pure elements is 1.62 eV/f.u.

=====

PrZr2V: optimized geometry, GGA-PBE.

Cell lengths 3.3742, 3.3742, 8.2053 Å; angles 90.00, 90.00, 90.00 degrees
Last column: nearest neighbours and their distance in Å.
Element x y z (fractional)
V 0.5000 0.5000 0.0000  8 Zr 2.85
Zr 0.0000 0.0000 0.1909  4 V 2.85, 1 Zr 3.13
Zr 0.0000 0.0000 0.8091  4 V 2.85, 1 Zr 3.13
Pr 0.5000 0.5000 0.5000  4 Pr 3.37, 8 Zr 3.48

Computed properties:
The value obtained for the energy of formation from the pure elements is 0.82 eV/f.u. The value obtained for the offset from the most stable computed form is 0.0 meV per atom.

=====

Copy entry 2 word for word.
PrVZn: optimized geometry, GGA-PBE.

Cell lengths 4.8017, 4.2051, 9.0644 Å; angles 81.30, 74.64, 55.18 degrees
Last column: nearest neighbours and their distance in Å.
Element x y z (fractional)
V 0.8580 0.2839 0.0000  1 V 1.96
Pr 0.6109 0.0000 0.7782  6 V 3.14-3.24, 4 Zn 3.21
Zn 0.2500 0.5000 0.5000  2 Zn 2.40
Pr 0.3891 0.0000 0.2218  6 V 3.14-3.24, 4 Zn 3.21
Zn 0.7500 0.5000 0.5000  2 Zn 2.40
V 0.1420 0.7161 0.0000  1 V 1.96

Computed properties:
The value obtained for the energy of formation from the pure elements is 0.94 eV/f.u.

=====

Q: energy of formation from the pure elements of number 2 (PrVZn)?
A: 0.94 eV/f.u.